Material: SrTlFe
Method: DFT, PBE
State: optimized geometry

abc: 3.7228 3.7228 11.3707
angles: 90.00 90.00 90.00
Last column: nearest neighbours and their distance in Å.
Space group I4mm (No. 107)
Asymmetric unit:
1 Sr 0.0000 0.0000 0.0000 [2 per cell]  5 Tl 3.29-3.56, 5 Fe 3.33-3.53
2 Tl 0.0000 0.0000 0.7111 [2 per cell]  4 Fe 2.79
3 Fe 0.0000 0.0000 0.2930 [2 per cell]  4 Tl 2.79

total moment: 2.54 μB/f.u.
formation energy from the elements: 348.2 meV per atom
DOS at the Fermi energy: 4.55 states/eV/f.u.